Entry from OQMD via LeMat-Bulk: crystalline CoGeAsO at its relaxed geometry (GGA+U).

a b c (Å): 4.153 4.153 8.769
angles (deg): 90.00 90.00 90.00
Positions (direct):
As1 0.750 0.750 0.331
As2 0.250 0.250 0.669
Co1 0.250 0.250 0.005
Co2 0.750 0.750 0.995
Ge1 0.750 0.250 0.500
Ge2 0.250 0.750 0.500
O1 0.750 0.250 0.000
O2 0.250 0.750 0.000

Summary:
energy: -5.022 eV per atom
calculated volume: 18.91 Å³/atom